# 1
Entry from Alexandria: a geometry-optimized Rb2ThAg2S4 structure (GGA-PBE).

Unit cell a=4.233 b=7.980 c=7.940 alpha=109.03 beta=105.46 gamma=90.00
Atoms (fractional coordinates):
S (0.488, 0.229, 0.976)
S (0.512, 0.771, 0.024)
S (0.193, 0.185, 0.385)
S (0.807, 0.815, 0.615)
Ag (0.680, 0.986, 0.360)
Ag (0.320, 0.014, 0.640)
Rb (0.138, 0.569, 0.275)
Rb (0.862, 0.431, 0.725)
Th (0.000, 0.000, 0.000)

## Properties
* final energy: -4.68 eV/atom
* E_form (uncorrected): -1172 meV per atom
* DOS(E_F): 0.00 states/eV/cell



# 2
Entry from Alexandria: a geometry-optimized ZnHF2 structure (GGA-PBE).

Unit cell a=4.633 b=4.633 c=4.894 alpha=61.75 beta=61.75 gamma=90.00
Atoms (fractional coordinates):
F (0.491, 0.125, 0.250)
F (0.875, 0.741, 0.750)
F (0.375, 0.509, 0.750)
F (0.259, 0.625, 0.250)
Zn (0.750, 0.250, 0.500)
Zn (0.000, 0.000, 0.000)
H (0.500, 0.500, 0.000)
H (0.250, 0.750, 0.500)

## Properties
* final energy: -3.02 eV/atom
* DOS(E_F): 0.14 states/eV/cell
* excess energy over the best structure of this formula in the dataset: 439 meV/atom



# 3
Entry from Alexandria: a geometry-optimized Ba6AgAu2 structure (GGA-PBE).

Unit cell a=7.677 b=8.315 c=14.243 alpha=89.90 beta=90.00 gamma=90.00
Atoms (fractional coordinates):
Au (0.501, 0.000, 0.173)
Au (0.001, 0.500, 0.327)
Au (0.999, 0.500, 0.673)
Au (0.499, 0.000, 0.827)
Ba (0.750, 0.826, 0.666)
Ba (0.253, 0.674, 0.167)
Ba (0.268, 0.157, 0.000)
Ba (0.250, 0.174, 0.334)
Ba (0.750, 0.326, 0.166)
Ba (0.732, 0.843, 0.000)
Ba (0.247, 0.174, 0.667)
Ba (0.747, 0.326, 0.833)
Ba (0.768, 0.343, 0.500)
Ba (0.753, 0.826, 0.333)
Ba (0.250, 0.674, 0.834)
Ba (0.232, 0.657, 0.500)
Ag (0.500, 0.500, 0.000)
Ag (0.000, 0.000, 0.500)

## Properties
* final energy: -2.72 eV/atom
* calculated formation energy: -3.55 eV per formula unit
* DOS(E_F): 11.96 states/eV/cell
* excess energy over the best structure of this formula in the dataset: 0 meV/atom



# 4
Entry from Alexandria: a geometry-optimized Cu3Ru structure (GGA-PBE).

Unit cell a=4.696 b=4.696 c=4.696 alpha=90.00 beta=90.00 gamma=90.00
Atoms (fractional coordinates):
Cu (0.500, 0.000, 0.750)
Cu (0.750, 0.500, 0.000)
Cu (0.000, 0.250, 0.500)
Cu (0.500, 0.000, 0.250)
Cu (0.000, 0.750, 0.500)
Cu (0.250, 0.500, 0.000)
Ru (0.500, 0.500, 0.500)
Ru (0.000, 0.000, 0.000)

## Properties
* final energy: -4.98 eV/atom
* calculated formation energy: 1.63 eV per formula unit
* DOS(E_F): 13.54 states/eV/cell



# 5
Entry from Alexandria: a geometry-optimized Rb3Sm3TiS8 structure (GGA-PBE).

Unit cell a=8.032 b=8.033 c=9.119 alpha=116.17 beta=90.00 gamma=120.00
Atoms (fractional coordinates):
S (0.210, 0.970, 0.680)
S (0.790, 0.030, 0.320)
S (0.790, 0.580, 0.320)
S (0.268, 0.535, 0.303)
S (0.732, 0.465, 0.697)
S (0.210, 0.420, 0.680)
S (0.760, 0.970, 0.680)
S (0.240, 0.030, 0.320)
Rb (0.500, 0.500, 0.000)
Rb (0.000, 0.500, 0.000)
Rb (0.000, 0.000, 0.000)
Sm (0.500, 0.000, 0.500)
Sm (0.000, 0.500, 0.500)
Sm (0.500, 0.500, 0.500)
Ti (0.000, 0.000, 0.500)

## Properties
* final energy: -5.56 eV/atom
* E_form (uncorrected): -1694 meV per atom



# 6
Entry from Alexandria: a geometry-optimized LaZn2Cu structure (GGA-PBE).

Unit cell a=3.217 b=3.219 c=7.321 alpha=90.00 beta=90.00 gamma=90.00
Atoms (fractional coordinates):
Zn (0.000, 0.000, 0.068)
Zn (0.000, 0.000, 0.432)
Cu (0.500, 0.500, 0.250)
La (0.500, 0.500, 0.750)

## Properties
* final energy: -3.01 eV/atom
* calculated formation energy: -0.46 eV per formula unit
* DOS(E_F): 3.06 states/eV/cell



# 7
Entry from Alexandria: a geometry-optimized La2Pm2Hg structure (GGA-PBE).

Unit cell a=5.259 b=5.259 c=13.507 alpha=101.23 beta=101.23 gamma=90.00
Atoms (fractional coordinates):
Pm (0.421, 0.921, 0.842)
Pm (0.329, 0.329, 0.658)
Pm (0.079, 0.579, 0.158)
Pm (0.671, 0.671, 0.342)
La (0.820, 0.820, 0.639)
La (0.930, 0.430, 0.861)
La (0.180, 0.180, 0.361)
La (0.570, 0.070, 0.139)
Hg (0.250, 0.750, 0.500)
Hg (0.500, 0.500, 0.000)

## Properties
* final energy: -3.98 eV/atom
* calculated formation energy: -0.22 eV per formula unit
* DOS(E_F): 17.46 states/eV/cell
* excess energy over the best structure of this formula in the dataset: 141 meV/atom



# 8
Entry from Alexandria: a geometry-optimized Pr8Nd4Cd structure (GGA-PBE).

Unit cell a=11.816 b=11.816 c=7.874 alpha=90.00 beta=138.62 gamma=120.00
Atoms (fractional coordinates):
Cd (0.000, 0.500, 0.500)
Nd (0.000, 0.000, 0.000)
Nd (0.000, 0.500, 0.000)
Nd (0.500, 0.000, 0.000)
Nd (0.500, 0.500, 0.000)
Pr (0.833, 0.666, 0.000)
Pr (0.513, 0.757, 0.270)
Pr (0.666, 0.833, 0.000)
Pr (0.833, 0.167, 0.000)
Pr (0.167, 0.833, 0.000)
Pr (0.167, 0.334, 0.000)
Pr (0.334, 0.167, 0.000)
Pr (0.487, 0.243, 0.730)

## Properties
* final energy: -4.13 eV/atom
* calculated formation energy: 4.55 eV per formula unit
* DOS(E_F): 23.38 states/eV/cell



# 9
Entry from Alexandria: a geometry-optimized ZnIn4Ir2 structure (GGA-PBE).

Unit cell a=4.518 b=4.518 c=9.235 alpha=75.84 beta=75.84 gamma=60.00
Atoms (fractional coordinates):
Ir (0.906, 0.906, 0.282)
Ir (0.094, 0.094, 0.718)
Zn (0.000, 0.000, 0.000)
In (0.800, 0.800, 0.599)
In (0.200, 0.200, 0.401)
In (0.603, 0.603, 0.192)
In (0.397, 0.397, 0.808)

## Properties
* final energy: -4.40 eV/atom
* calculated formation energy: -0.83 eV per formula unit
* DOS(E_F): 3.53 states/eV/cell



# 10
Entry from Alexandria: a geometry-optimized PmDyAlIr structure (GGA-PBE).

Unit cell a=5.041 b=5.041 c=5.041 alpha=60.00 beta=60.00 gamma=60.00
Atoms (fractional coordinates):
Dy (0.250, 0.250, 0.250)
Ir (0.000, 0.000, 0.000)
Al (0.500, 0.500, 0.500)
Pm (0.750, 0.750, 0.750)

## Properties
* final energy: -5.97 eV/atom
* calculated formation energy: -1.93 eV per formula unit
* DOS(E_F): 3.70 states/eV/cell



# 11
Entry from Alexandria: a geometry-optimized Ac2BiAu2 structure (GGA-PBE).

Unit cell a=4.368 b=8.341 c=8.341 alpha=90.00 beta=90.00 gamma=90.00
Atoms (fractional coordinates):
Au (0.000, 0.622, 0.122)
Au (0.000, 0.878, 0.622)
Au (0.000, 0.378, 0.878)
Au (0.000, 0.122, 0.378)
Ac (0.500, 0.824, 0.324)
Ac (0.500, 0.324, 0.176)
Ac (0.500, 0.676, 0.824)
Ac (0.500, 0.176, 0.676)
Bi (0.000, 0.500, 0.500)
Bi (0.000, 0.000, 0.000)

## Properties
* final energy: -4.59 eV/atom
* calculated formation energy: -4.30 eV per formula unit
* DOS(E_F): 4.22 states/eV/cell



# 12
Entry from Alexandria: a geometry-optimized La2OsRh structure (GGA-PBE).

Unit cell a=3.605 b=5.047 c=5.046 alpha=90.00 beta=90.00 gamma=90.00
Atoms (fractional coordinates):
Os (0.500, 0.625, 0.000)
La (0.000, 0.625, 0.500)
La (0.000, 0.125, 0.000)
Rh (0.500, 0.126, 0.500)

## Properties
* final energy: -7.33 eV/atom
* calculated formation energy: -0.88 eV per formula unit
* DOS(E_F): 2.11 states/eV/cell
* excess energy over the best structure of this formula in the dataset: 21 meV/atom



# 13
Entry from Alexandria: a geometry-optimized TlSb2Pb structure (GGA-PBE).

Unit cell a=4.752 b=4.736 c=13.362 alpha=108.84 beta=71.03 gamma=84.46
Atoms (fractional coordinates):
Sb (0.753, 0.113, 0.247)
Sb (0.766, 0.590, 0.959)
Sb (0.779, 0.156, 0.747)
Sb (0.319, 0.126, 0.459)
Pb (0.256, 0.558, 0.711)
Pb (0.352, 0.636, 0.211)
Tl (0.810, 0.660, 0.479)
Tl (0.232, 0.100, 0.980)

## Properties
* final energy: -3.52 eV/atom
* E_form (uncorrected): 62 meV per atom
* DOS(E_F): 4.32 states/eV/cell



# 14
Entry from Alexandria: a geometry-optimized Fe2OsPt structure (GGA-PBE).

Unit cell a=8.802 b=8.802 c=8.802 alpha=17.54 beta=17.54 gamma=17.54
Atoms (fractional coordinates):
Pt (0.750, 0.750, 0.750)
Fe (0.502, 0.502, 0.502)
Fe (0.998, 0.998, 0.998)
Os (0.250, 0.250, 0.250)

## Properties
* final energy: -8.53 eV/atom
* calculated formation energy: 0.06 eV per formula unit
* DOS(E_F): 3.22 states/eV/cell
* excess energy over the best structure of this formula in the dataset: 19 meV/atom



# 15
Entry from Alexandria: a geometry-optimized PmCdIr structure (GGA-PBE).

Unit cell a=4.841 b=4.838 c=7.531 alpha=110.45 beta=108.75 gamma=90.00
Atoms (fractional coordinates):
Ir (0.403, 0.644, 0.656)
Ir (0.638, 0.902, 0.125)
Cd (0.200, 0.464, 0.250)
Cd (0.840, 0.082, 0.531)
Pm (0.020, 0.773, 0.890)
Pm (0.520, 0.273, 0.890)

## Properties
* final energy: -4.90 eV/atom
* calculated formation energy: -0.16 eV per formula unit
* DOS(E_F): 3.02 states/eV/cell
* excess energy over the best structure of this formula in the dataset: 457 meV/atom



# 16
Entry from Alexandria: a geometry-optimized Sr2TaCr structure (GGA-PBE).

Unit cell a=4.780 b=4.779 c=5.001 alpha=90.00 beta=90.00 gamma=90.00
Atoms (fractional coordinates):
Sr (0.000, 0.000, 0.000)
Sr (0.500, 0.500, 0.000)
Cr (0.000, 0.500, 0.500)
Ta (0.500, 0.000, 0.500)

## Properties
* final energy: -5.04 eV/atom
* calculated formation energy: 4.67 eV per formula unit
* DOS(E_F): 2.99 states/eV/cell
* excess energy over the best structure of this formula in the dataset: 583 meV/atom



# 17
Entry from Alexandria: a geometry-optimized Li2MgScHg4 structure (GGA-PBE).

Unit cell a=4.818 b=4.818 c=8.470 alpha=73.47 beta=73.47 gamma=60.00
Atoms (fractional coordinates):
Sc (0.500, 0.500, 0.500)
Hg (0.623, 0.623, 0.132)
Hg (0.125, 0.125, 0.625)
Hg (0.377, 0.377, 0.868)
Hg (0.875, 0.875, 0.375)
Li (0.748, 0.748, 0.755)
Li (0.252, 0.252, 0.245)
Mg (0.000, 0.000, 0.000)

## Properties
* final energy: -1.96 eV/atom
* calculated formation energy: -2.70 eV per formula unit
* DOS(E_F): 3.47 states/eV/cell



# 18
Entry from Alexandria: a geometry-optimized CuRe2Au structure (GGA-PBE).

Unit cell a=3.749 b=3.719 c=4.302 alpha=90.00 beta=90.00 gamma=90.00
Atoms (fractional coordinates):
Re (0.500, 0.500, 0.000)
Re (0.000, 0.000, 0.000)
Cu (0.000, 0.500, 0.500)
Au (0.500, 0.000, 0.500)

## Properties
* final energy: -7.59 eV/atom
* calculated formation energy: 1.91 eV per formula unit
* DOS(E_F): 2.22 states/eV/cell
* excess energy over the best structure of this formula in the dataset: 301 meV/atom



# 19
Entry from Alexandria: a geometry-optimized HoAl2Ag9 structure (GGA-PBE).

Unit cell a=7.059 b=8.769 c=8.769 alpha=80.68 beta=66.27 gamma=66.27
Atoms (fractional coordinates):
Ag (0.000, 0.000, 0.000)
Ag (0.752, 0.817, 0.574)
Ag (0.752, 0.574, 0.817)
Ag (0.076, 0.317, 0.926)
Ag (0.750, 0.500, 0.500)
Ag (0.998, 0.926, 0.683)
Ag (0.998, 0.683, 0.926)
Ag (0.319, 0.074, 0.683)
Ag (0.607, 0.317, 0.074)
Ag (0.431, 0.817, 0.426)
Ag (0.143, 0.426, 0.183)
Ag (0.143, 0.183, 0.426)
Ag (0.674, 0.574, 0.183)
Ag (0.319, 0.683, 0.074)
Ag (0.076, 0.926, 0.317)
Ag (0.674, 0.183, 0.574)
Ag (0.431, 0.426, 0.817)
Ag (0.607, 0.074, 0.317)
Al (0.875, 0.250, 0.250)
Al (0.375, 0.750, 0.750)
Al (0.875, 0.250, 0.750)
Al (0.875, 0.750, 0.250)
Ho (0.250, 0.500, 0.500)
Ho (0.500, 0.000, 0.000)

## Properties
* final energy: -3.22 eV/atom
* calculated formation energy: -0.88 eV per formula unit
* DOS(E_F): 10.19 states/eV/cell



# 20
Entry from Alexandria: a geometry-optimized MnAlCd2 structure (GGA-PBE).

Unit cell a=6.051 b=6.051 c=6.051 alpha=151.38 beta=133.68 gamma=55.36
Atoms (fractional coordinates):
Cd (0.715, 0.215, 0.500)
Cd (0.004, 0.004, 0.000)
Al (0.293, 0.793, 0.500)
Mn (0.488, 0.488, 0.000)

## Properties
* final energy: -3.50 eV/atom
* calculated formation energy: 0.76 eV per formula unit
* DOS(E_F): 1.65 states/eV/cell



# 21
Entry from Alexandria: a geometry-optimized RbYSnAs2 structure (GGA-PBE).

Unit cell a=5.575 b=5.481 c=5.575 alpha=90.00 beta=90.00 gamma=90.00
Atoms (fractional coordinates):
Y (0.000, 0.500, 0.000)
As (0.500, 0.000, 0.000)
As (0.000, 0.000, 0.500)
Sn (0.500, 0.500, 0.500)
Rb (0.000, 0.000, 0.000)

## Properties
* final energy: -2.84 eV/atom
* calculated formation energy: 6.53 eV per formula unit
* DOS(E_F): 4.78 states/eV/cell



# 22
Entry from Alexandria: a geometry-optimized FeTe2Ru structure (GGA-PBE).

Unit cell a=3.161 b=3.725 c=7.487 alpha=90.00 beta=90.00 gamma=90.00
Atoms (fractional coordinates):
Ru (0.500, 0.500, 0.711)
Te (0.000, 0.000, 0.888)
Te (0.500, 0.500, 0.359)
Fe (0.000, 0.000, 0.542)

## Properties
* final energy: -5.88 eV/atom
* E_form (uncorrected): 124 meV per atom
* DOS(E_F): 3.79 states/eV/cell
* excess energy over the best structure of this formula in the dataset: 150 meV/atom